(1)
Below is an optimized crystal structure of Ba2LiCuRh, with properties calculated at the GGA-PBE level.

Geometry as CIF:
```
data_Ba2LiCuRh
_chemical_formula_sum 'Ba2 Li1 Cu1 Rh1'
_cell_length_a 5.956
_cell_length_b 5.956
_cell_length_c 4.910
_cell_angle_alpha 90.00
_cell_angle_beta 90.00
_cell_angle_gamma 90.00
_space_group_name_H-M_alt 'P 1'
_space_group_IT_number 1
loop_
_space_group_symop_operation_xyz
'x,y,z'
loop_
_atom_site_label
_atom_site_type_symbol
_atom_site_fract_x
_atom_site_fract_y
_atom_site_fract_z
_atom_site_occupancy
Ba1 Ba 0.500 0.000 0.000 1
Ba2 Ba 0.000 0.500 0.000 1
Cu1 Cu 0.000 0.000 0.500 1
Rh1 Rh 0.000 0.000 0.000 1
Li1 Li 0.500 0.500 0.500 1
```

Summary:
As for the formation energy: 0.100 eV/atom. As for the space-group type: P4/mmm, No. 123.

=====

(2)
Below is an optimized crystal structure of Na3W3Cl13, with properties calculated at the GGA-PBE level.

Geometry as CIF:
```
data_Na3W3Cl13
_chemical_formula_sum 'Na12 W12 Cl52'
_cell_length_a 25.750
_cell_length_b 9.212
_cell_length_c 9.347
_cell_angle_alpha 59.56
_cell_angle_beta 90.00
_cell_angle_gamma 90.00
_space_group_name_H-M_alt 'P 1'
_space_group_IT_number 1
loop_
_space_group_symop_operation_xyz
'x,y,z'
loop_
_atom_site_label
_atom_site_type_symbol
_atom_site_fract_x
_atom_site_fract_y
_atom_site_fract_z
_atom_site_occupancy
Na1 Na 0.893 0.395 0.012 1
Na2 Na 0.607 0.395 0.512 1
Na3 Na 0.393 0.605 0.488 1
Na4 Na 0.106 0.950 0.315 1
Na5 Na 0.750 0.223 0.850 1
Na6 Na 0.250 0.777 0.650 1
Na7 Na 0.107 0.605 0.988 1
Na8 Na 0.606 0.050 0.185 1
Na9 Na 0.894 0.050 0.685 1
Na10 Na 0.250 0.777 0.150 1
Na11 Na 0.750 0.223 0.350 1
Na12 Na 0.394 0.950 0.815 1
W1 W 0.369 0.449 0.976 1
W2 W 0.870 0.722 0.183 1
W3 W 0.869 0.894 0.352 1
W4 W 0.130 0.278 0.817 1
W5 W 0.369 0.106 0.148 1
W6 W 0.869 0.551 0.524 1
W7 W 0.131 0.449 0.476 1
W8 W 0.631 0.894 0.852 1
W9 W 0.370 0.278 0.317 1
W10 W 0.630 0.722 0.683 1
W11 W 0.631 0.551 0.024 1
W12 W 0.131 0.106 0.648 1
Cl1 Cl 0.179 0.483 0.845 1
Cl2 Cl 0.184 0.684 0.445 1
Cl3 Cl 0.179 0.072 0.051 1
Cl4 Cl 0.298 0.277 0.150 1
Cl5 Cl 0.679 0.517 0.655 1
Cl6 Cl 0.066 0.483 0.642 1
Cl7 Cl 0.798 0.723 0.350 1
Cl8 Cl 0.679 0.928 0.449 1
Cl9 Cl 0.433 0.278 0.943 1
Cl10 Cl 0.926 0.721 0.964 1
Cl11 Cl 0.066 0.073 0.848 1
Cl12 Cl 0.421 0.677 0.750 1
Cl13 Cl 0.577 0.122 0.849 1
Cl14 Cl 0.821 0.517 0.155 1
Cl15 Cl 0.202 0.277 0.650 1
Cl16 Cl 0.318 0.076 0.949 1
Cl17 Cl 0.574 0.721 0.464 1
Cl18 Cl 0.426 0.279 0.536 1
Cl19 Cl 0.321 0.483 0.345 1
Cl20 Cl 0.818 0.924 0.551 1
Cl21 Cl 0.817 0.129 0.148 1
Cl22 Cl 0.434 0.483 0.142 1
Cl23 Cl 0.067 0.278 0.443 1
Cl24 Cl 0.933 0.722 0.557 1
Cl25 Cl 0.934 0.927 0.152 1
Cl26 Cl 0.816 0.316 0.555 1
Cl27 Cl 0.566 0.517 0.858 1
Cl28 Cl 0.684 0.316 0.055 1
Cl29 Cl 0.434 0.073 0.348 1
Cl30 Cl 0.317 0.871 0.352 1
Cl31 Cl 0.934 0.517 0.358 1
Cl32 Cl 0.682 0.524 0.252 1
Cl33 Cl 0.077 0.878 0.651 1
Cl34 Cl 0.821 0.928 0.949 1
Cl35 Cl 0.318 0.476 0.748 1
Cl36 Cl 0.579 0.323 0.250 1
Cl37 Cl 0.074 0.279 0.036 1
Cl38 Cl 0.079 0.677 0.250 1
Cl39 Cl 0.321 0.072 0.551 1
Cl40 Cl 0.702 0.723 0.850 1
Cl41 Cl 0.316 0.684 0.945 1
Cl42 Cl 0.183 0.871 0.852 1
Cl43 Cl 0.921 0.323 0.750 1
Cl44 Cl 0.923 0.122 0.349 1
Cl45 Cl 0.683 0.129 0.648 1
Cl46 Cl 0.682 0.924 0.051 1
Cl47 Cl 0.566 0.927 0.652 1
Cl48 Cl 0.182 0.076 0.449 1
Cl49 Cl 0.818 0.524 0.752 1
Cl50 Cl 0.182 0.476 0.248 1
Cl51 Cl 0.423 0.878 0.151 1
Cl52 Cl 0.567 0.722 0.057 1
```

Summary:
The uncorrected formation energy is -1.1460 eV per atom. As for the space-group type: P2_1/c, No. 14.

=====

(3)
Below is an optimized crystal structure of Li2TbCd5, with properties calculated at the GGA-PBE level.

Geometry as CIF:
```
data_Li2TbCd5
_chemical_formula_sum 'Li2 Tb1 Cd5'
_cell_length_a 4.806
_cell_length_b 4.806
_cell_length_c 8.098
_cell_angle_alpha 107.26
_cell_angle_beta 107.26
_cell_angle_gamma 90.00
_space_group_name_H-M_alt 'P 1'
_space_group_IT_number 1
loop_
_space_group_symop_operation_xyz
'x,y,z'
loop_
_atom_site_label
_atom_site_type_symbol
_atom_site_fract_x
_atom_site_fract_y
_atom_site_fract_z
_atom_site_occupancy
Cd1 Cd 0.142 0.642 0.285 1
Cd2 Cd 0.500 0.500 0.000 1
Cd3 Cd 0.358 0.858 0.715 1
Cd4 Cd 0.858 0.358 0.715 1
Cd5 Cd 0.642 0.142 0.285 1
Li1 Li 0.252 0.252 0.503 1
Li2 Li 0.748 0.748 0.497 1
Tb1 Tb 0.000 0.000 0.000 1
```

Summary:
As for the formation energy: -0.241 eV/atom. As for the space-group type: I4/mmm, No. 139.

=====

Energy across the listed records, respectively: -3.341, -4.663, -1.870 eV per atom.